## YS2I (PBE)

Data for a relaxed YS2I crystal.

E_form (uncorrected): -0.626 eV per atom
Energy above the most stable polymorph in this dataset: 571 meV/atom
Symmetry: I-42d (122)
DOS(E_F): 1.1 states/eV/f.u.
Magnetic moment: 3.95 μB per cell

Unit cell a=7.4479 b=7.4479 c=7.2169 alpha=58.94 beta=58.94 gamma=90.00
Closest atoms and distances in Å follow each position.
Fractional positions:
S 0.3750 0.4415 0.7500  2 Y 2.62
S 0.8750 0.8085 0.7500  2 Y 2.62
S 0.1915 0.6250 0.2500  2 Y 2.62
S 0.5585 0.1250 0.2500  2 Y 2.62
Y 0.2500 0.7500 0.5000  4 S 2.62
Y 0.5000 0.5000 0.0000  4 S 2.62
I 0.7500 0.2500 0.5000  4 S 3.25
I 0.0000 0.0000 0.0000  4 S 3.25